VASP calculation (PBE) on a relaxed La2HgOs crystal.

Cell lengths 4.2207, 4.2207, 23.7590 Å; angles 90.00, 90.00, 120.00 degrees
Space group R-3m (No. 166, hexagonal axes)
Symmetry-distinct sites (fractional):
1 La 0.0000 0.0000 0.2300 x6
2 Hg 0.0000 0.0000 0.0000 x3
3 Os 0.0000 0.0000 0.5000 x3

Computed properties:
Size of the total moment: 0.00 μB per formula unit
Energy of formation from the pure elements: -0.216 eV per atom
Total energy: -5.562 eV/atom
Calculated volume: 30.6 A^3/atom